Density functional theory data (PBE) for Zr3Sc4 after structural relaxation.

It has space group C2/m (No. 12), with a = 15.439 Å, b = 3.132 Å, c = 7.908 Å, α = 90.00°, β = 118.30° and γ = 90.00°. The asymmetric unit holds Zr at (0.000, 0.000, 0.000), Zr at (0.218, 0.000, 0.136), Sc at (0.084, 0.000, 0.703) and Sc at (0.138, 0.500, 0.401).

The formation energy is 0.1100 eV/atom.